Computed, not measured: crystalline K2ZnIr at its relaxed geometry at the GGA-PBEsol level of DFT.

Values from the calculation:
The value obtained for the calculated formation energy is 0.5027 eV/atom.

Cell and atoms, written as CIF:
```
data_K2ZnIr
_chemical_formula_sum 'K4 Zn2 Ir2'
_space_group_name_H-M_alt 'I m m 2'
_space_group_IT_number 44
_cell_length_a 4.279
_cell_length_b 5.504
_cell_length_c 9.298
_cell_angle_alpha 90.00
_cell_angle_beta 90.00
_cell_angle_gamma 90.00
loop_
_space_group_symop_operation_xyz
'x,y,z'
'-x,-y,z'
'-x,y,z'
'x,-y,z'
'x+1/2,y+1/2,z+1/2'
'-x+1/2,-y+1/2,z+1/2'
'-x+1/2,y+1/2,z+1/2'
'x+1/2,-y+1/2,z+1/2'
loop_
_atom_site_label
_atom_site_type_symbol
_atom_site_fract_x
_atom_site_fract_y
_atom_site_fract_z
K1 K 0.000 0.000 0.000
K2 K 0.000 0.500 0.198
Zn1 Zn 0.000 0.500 0.790
Ir1 Ir 0.000 0.000 0.399
```